Record 1
Here is an optimized crystal structure of Cs2Ni3S4 from Alexandria via LeMat-Bulk. Energies are from PBEsol.

Its energy relative to the elements, uncorrected is -786 meV/atom.

Unit cell a=5.8416 b=9.9321 c=14.4686 alpha=90.00 beta=90.00 gamma=90.00
Space group Fmmm (No. 69)
Symmetry-distinct sites (fractional):
Cs: 0.0000 0.0000 0.1617 x8
Ni: 0.0000 0.0000 0.5000 x4
Ni: 0.2500 0.2500 0.0000 x8
S: 0.0000 0.1676 0.4027 x16


Record 2
Here is an optimized crystal structure of CrAsSe2S from Alexandria via LeMat-Bulk. Energies are from PBEsol.

Its energy relative to the elements, uncorrected is 408 meV/atom.

Unit cell a=4.5003 b=4.5003 c=4.7338 alpha=90.00 beta=90.00 gamma=90.00
Space group P4/mmm (No. 123)
Symmetry-distinct sites (fractional):
Cr: 0.0000 0.0000 0.0000 x1
As: 0.0000 0.0000 0.5000 x1
Se: 0.0000 0.5000 0.0000 x2
S: 0.5000 0.5000 0.5000 x1


Record 3
Here is an optimized crystal structure of Ti2Sn2Ge from Alexandria via LeMat-Bulk. Energies are from PBEsol.

The calculation puts the formation energy at 0.068 eV/atom.

Unit cell a=3.8754 b=3.8754 c=13.6063 alpha=90.00 beta=90.00 gamma=90.00
Space group I4/mmm (No. 139)
Symmetry-distinct sites (fractional):
Ti: 0.0000 0.0000 0.0904 x4
Sn: 0.0000 0.5000 0.2500 x4
Ge: 0.0000 0.0000 0.5000 x2


Record 4
Here is an optimized crystal structure of Re2SiTc from Alexandria via LeMat-Bulk. Energies are from PBEsol.

Its energy relative to the elements, uncorrected is -211 meV/atom.

Unit cell a=2.8849 b=2.8849 c=6.5380 alpha=90.00 beta=90.00 gamma=90.00
Space group P4mm (No. 99)
Symmetry-distinct sites (fractional):
Re: 0.0000 0.0000 0.0000 x1
Re: 0.5000 0.5000 0.2717 x1
Si: 0.0000 0.0000 0.5064 x1
Tc: 0.5000 0.5000 0.7297 x1


Record 5
Here is an optimized crystal structure of MnZnAu3 from Alexandria via LeMat-Bulk. Energies are from PBEsol.

The calculation puts the formation energy at 0.911 eV/atom.

Unit cell a=4.8068 b=4.8068 c=4.8068 alpha=90.00 beta=90.00 gamma=90.00
Space group Pm-3m (No. 221)
Symmetry-distinct sites (fractional):
Mn: 0.0000 0.0000 0.0000 x1
Zn: 0.5000 0.5000 0.5000 x1
Au: 0.0000 0.0000 0.5000 x3


Record 6
Here is an optimized crystal structure of Ge2Pt from Alexandria via LeMat-Bulk. Energies are from PBEsol.

The calculation puts the formation energy at -0.379 eV/atom.

Unit cell a=5.7683 b=6.2029 c=2.9189 alpha=90.00 beta=90.00 gamma=90.00
Space group Pnnm (No. 58)
Symmetry-distinct sites (fractional):
Ge: 0.1668 0.1283 0.0000 x4
Pt: 0.0000 0.5000 0.0000 x2


Record 7
Here is an optimized crystal structure of AlZn2 from Alexandria via LeMat-Bulk. Energies are from PBEsol.

The calculation puts the formation energy at 0.186 eV/atom.

Unit cell a=6.2083 b=6.2083 c=5.0627 alpha=90.00 beta=90.00 gamma=90.00
Space group I4/mcm (No. 140)
Symmetry-distinct sites (fractional):
Al: 0.0000 0.0000 0.2500 x4
Zn: 0.1455 0.3545 0.0000 x8


Record 8
Here is an optimized crystal structure of Ca2ZnPb from Alexandria via LeMat-Bulk. Energies are from PBEsol.

The calculation puts the formation energy at -0.416 eV/atom.

Unit cell a=3.7031 b=3.7031 c=7.5951 alpha=90.00 beta=90.00 gamma=90.00
Space group P4/mmm (No. 123)
Symmetry-distinct sites (fractional):
Ca: 0.0000 0.0000 0.2306 x2
Zn: 0.5000 0.5000 0.0000 x1
Pb: 0.5000 0.5000 0.5000 x1


Record 9
Here is an optimized crystal structure of Fe2Mo from Alexandria via LeMat-Bulk. Energies are from PBEsol.

The calculation puts the formation energy at -0.021 eV/atom.

Unit cell a=6.5520 b=6.5520 c=6.5520 alpha=90.00 beta=90.00 gamma=90.00
Space group Fd-3m (No. 227, origin choice 2)
Symmetry-distinct sites (fractional):
Fe: 0.0000 0.0000 0.0000 x16
Mo: 0.1250 0.1250 0.6250 x8


Record 10
Here is an optimized crystal structure of Sb2TePtBr from Alexandria via LeMat-Bulk. Energies are from PBEsol.

Its energy relative to the elements, uncorrected is 1434 meV/atom.

Unit cell a=5.3598 b=5.3598 c=5.2316 alpha=90.00 beta=90.00 gamma=90.00
Space group P4/mmm (No. 123)
Symmetry-distinct sites (fractional):
Sb: 0.0000 0.5000 0.0000 x2
Te: 0.0000 0.0000 0.5000 x1
Pt: 0.5000 0.5000 0.5000 x1
Br: 0.0000 0.0000 0.0000 x1


Record 11
Here is an optimized crystal structure of CaLa2Tc from Alexandria via LeMat-Bulk. Energies are from PBEsol.

For the offset from the most stable computed form, the calculation gives 0 meV per atom. The calculation puts the formation energy at 0.115 eV/atom.

Unit cell a=4.4582 b=5.4725 c=10.0500 alpha=90.00 beta=90.00 gamma=90.00
Space group Cmmm (No. 65)
Symmetry-distinct sites (fractional):
Ca: 0.0000 0.0000 0.0000 x2
La: 0.0000 0.5000 0.3275 x4
Tc: 0.0000 0.0000 0.5000 x2


Record 12
Here is an optimized crystal structure of CrCu2ReH from Alexandria via LeMat-Bulk. Energies are from PBEsol.

As for the total energy: -5.85 eV per atom.

Unit cell a=4.6596 b=4.6596 c=3.2081 alpha=90.00 beta=90.00 gamma=90.00
Space group P4/mmm (No. 123)
Symmetry-distinct sites (fractional):
Cr: 0.0000 0.0000 0.0000 x1
Cu: 0.0000 0.5000 0.5000 x2
Re: 0.5000 0.5000 0.5000 x1
H: 0.5000 0.5000 0.0000 x1


Record 13
Here is an optimized crystal structure of In4CoBr from Alexandria via LeMat-Bulk. Energies are from PBEsol.

Its energy relative to the elements, uncorrected is 537 meV/atom.

Unit cell a=8.3844 b=8.3844 c=8.3844 alpha=90.00 beta=90.00 gamma=90.00
Space group F-43m (No. 216)
Symmetry-distinct sites (fractional):
In: 0.1245 0.1245 0.1245 x16
Co: 0.2500 0.2500 0.7500 x4
Br: 0.0000 0.0000 0.5000 x4


Values for calculated density, g cm⁻³, ordered as above
4.51 5.49 6.59 15.21 10.63 10.82 5.37 5.62 9.81 7.14 5.63 8.73 6.74